[1]
Computed, not measured: Ho5Ir2Pt after structural relaxation at the PBE level of DFT.

Properties
formation enthalpy at 0 K	-7.06	eV/f.u.

Cell lengths 7.466, 7.466, 8.586 Å; angles 115.77, 115.77, 90.00 degrees
Positions (direct):
Ho (0.000, 0.000, 0.000)
Ho (0.528, 0.691, 0.719)
Ho (0.028, 0.528, 0.719)
Ho (0.972, 0.472, 0.281)
Ho (0.191, 0.028, 0.719)
Ho (0.500, 0.500, 0.000)
Ho (0.309, 0.809, 0.281)
Ho (0.472, 0.309, 0.281)
Ho (0.809, 0.972, 0.281)
Ho (0.691, 0.191, 0.719)
Pt (0.750, 0.750, 0.500)
Pt (0.250, 0.250, 0.500)
Ir (0.366, 0.866, 0.000)
Ir (0.866, 0.634, 0.000)
Ir (0.134, 0.366, 0.000)
Ir (0.634, 0.134, 0.000)

[2]
Computed, not measured: Ho5Ir4Pt after structural relaxation at the PBE level of DFT.

Properties
formation enthalpy at 0 K	-9.27	eV/f.u.

Cell lengths 3.377, 3.377, 17.599 Å; angles 90.00, 90.00, 90.00 degrees
Positions (direct):
Ho (0.500, 0.500, 0.103)
Ho (0.500, 0.500, 0.500)
Ho (0.500, 0.500, 0.897)
Ho (0.500, 0.500, 0.699)
Ho (0.500, 0.500, 0.301)
Pt (0.000, 0.000, 0.000)
Ir (0.000, 0.000, 0.799)
Ir (0.000, 0.000, 0.201)
Ir (0.000, 0.000, 0.401)
Ir (0.000, 0.000, 0.599)

[3]
Computed, not measured: HoPuIrPt after structural relaxation at the PBE level of DFT.

Properties
formation enthalpy at 0 K	-3.12	eV/f.u.

Cell lengths 4.890, 4.890, 4.890 Å; angles 60.00, 60.00, 60.00 degrees
Each line ends with the local moment (μB).
Positions (direct):
Pt (0.250, 0.250, 0.250)  -0.04
Pu (0.500, 0.500, 0.500)  5.06
Ho (0.000, 0.000, 0.000)  0.15
Ir (0.750, 0.750, 0.750)  -0.21

[4]
Computed, not measured: HoScIrPt after structural relaxation at the PBE level of DFT.

Properties
formation enthalpy at 0 K	-4.32	eV/f.u.
offset from the most stable computed form	0.00	kcal/mol of atoms

Cell lengths 3.338, 3.338, 6.791 Å; angles 90.00, 90.00, 90.00 degrees
Positions (direct):
Ho (0.500, 0.500, 0.113)
Sc (0.500, 0.500, 0.600)
Ir (0.000, 0.000, 0.375)
Pt (0.000, 0.000, 0.839)

[5]
Computed, not measured: HoScIrPt after structural relaxation at the PBE level of DFT.

Properties
formation enthalpy at 0 K	-4.18	eV/f.u.
offset from the most stable computed form	0.78	kcal/mol of atoms

Cell lengths 4.752, 4.752, 4.752 Å; angles 60.00, 60.00, 60.00 degrees
Positions (direct):
Pt (0.750, 0.750, 0.750)
Ir (0.250, 0.250, 0.250)
Sc (0.000, 0.000, 0.000)
Ho (0.500, 0.500, 0.500)

[6]
Computed, not measured: Ho2Si3IrPt4 after structural relaxation at the PBE level of DFT.

Properties
formation energy (no corrections)	-905.6	meV/atom

Cell lengths 3.954, 3.954, 11.187 Å; angles 90.00, 90.00, 90.00 degrees
Positions (direct):
Pt (0.500, 0.000, 0.663)
Pt (0.000, 0.000, 0.000)
Pt (0.000, 0.500, 0.337)
Pt (0.500, 0.500, 0.000)
Ir (0.500, 0.500, 0.500)
Si (0.000, 0.500, 0.132)
Si (0.000, 0.000, 0.500)
Si (0.500, 0.000, 0.868)
Ho (0.000, 0.500, 0.746)
Ho (0.500, 0.000, 0.254)

[7]
Computed, not measured: Ho2Si4Ir3Pt after structural relaxation at the PBE level of DFT.

Properties
formation energy (no corrections)	-1048.5	meV/atom

Cell lengths 4.099, 4.099, 10.032 Å; angles 90.00, 90.00, 90.00 degrees
Positions (direct):
Ho (0.000, 0.500, 0.759)
Ho (0.500, 0.000, 0.241)
Pt (0.500, 0.500, 0.500)
Si (0.000, 0.000, 0.000)
Si (0.500, 0.000, 0.638)
Si (0.500, 0.500, 0.000)
Si (0.000, 0.500, 0.362)
Ir (0.500, 0.000, 0.872)
Ir (0.000, 0.000, 0.500)
Ir (0.000, 0.500, 0.128)

[8]
Computed, not measured: Ho2Si4IrPt3 after structural relaxation at the PBE level of DFT.

Properties
formation energy (no corrections)	-1085.5	meV/atom

Cell lengths 4.097, 4.097, 10.128 Å; angles 90.00, 90.00, 90.00 degrees
Positions (direct):
Si (0.500, 0.000, 0.636)
Si (0.500, 0.500, 0.000)
Si (0.000, 0.000, 0.000)
Si (0.000, 0.500, 0.364)
Pt (0.000, 0.500, 0.128)
Pt (0.500, 0.000, 0.872)
Pt (0.000, 0.000, 0.500)
Ho (0.500, 0.000, 0.250)
Ho (0.000, 0.500, 0.750)
Ir (0.500, 0.500, 0.500)

[9]
Computed, not measured: SmHoIrPt after structural relaxation at the PBE level of DFT.

Properties
formation enthalpy at 0 K	-3.94	eV/f.u.
offset from the most stable computed form	0.00	kcal/mol of atoms

Cell lengths 3.868, 4.312, 5.712 Å; angles 90.00, 109.79, 90.00 degrees
Positions (direct):
Sm (0.145, 0.000, 0.290)
Ir (0.412, 0.000, 0.824)
Pt (0.583, 0.500, 0.166)
Ho (0.860, 0.500, 0.720)

[10]
Computed, not measured: SmHoIrPt after structural relaxation at the PBE level of DFT.

Properties
formation enthalpy at 0 K	-3.83	eV/f.u.
offset from the most stable computed form	0.68	kcal/mol of atoms

Cell lengths 4.936, 4.936, 4.936 Å; angles 60.00, 60.00, 60.00 degrees
Positions (direct):
Ho (0.500, 0.500, 0.500)
Ir (0.250, 0.250, 0.250)
Pt (0.750, 0.750, 0.750)
Sm (0.000, 0.000, 0.000)

[11]
Computed, not measured: TbHoIrPt after structural relaxation at the PBE level of DFT.

Properties
formation enthalpy at 0 K	-4.09	eV/f.u.
offset from the most stable computed form	0.36	kcal/mol of atoms

Cell lengths 4.892, 4.892, 4.892 Å; angles 60.00, 60.00, 60.00 degrees
Positions (direct):
Ho (0.500, 0.500, 0.500)
Ir (0.250, 0.250, 0.250)
Pt (0.750, 0.750, 0.750)
Tb (0.000, 0.000, 0.000)

[12]
Computed, not measured: TbHoIrPt after structural relaxation at the PBE level of DFT.

Properties
formation enthalpy at 0 K	-4.15	eV/f.u.
offset from the most stable computed form	0.00	kcal/mol of atoms

Cell lengths 3.456, 3.456, 6.937 Å; angles 90.00, 90.00, 90.00 degrees
Positions (direct):
Tb (0.500, 0.500, 0.099)
Ir (0.000, 0.000, 0.854)
Pt (0.000, 0.000, 0.361)
Ho (0.500, 0.500, 0.614)

Number 1: DFT total energy -0.49342 Ry per atom, size of the total moment 0.0 μB/f.u.. Number 2: DFT total energy -0.54126 Ry per atom, size of the total moment 0.0 μB/f.u.. Number 3: DFT total energy -0.67852 Ry per atom, size of the total moment 5.2 μB/f.u.. Number 4: DFT total energy -0.55361 Ry per atom, size of the total moment 0.0 μB/f.u.. Number 5: DFT total energy -0.55113 Ry per atom, size of the total moment 0.0 μB/f.u.. Number 6: DFT total energy -0.49615 Ry per atom, size of the total moment 0.0 μB/f.u.. Number 7: DFT total energy -0.54357 Ry per atom, size of the total moment 0.0 μB/f.u.. Number 8: DFT total energy -0.50484 Ry per atom, size of the total moment 0.0 μB/f.u.. Number 9: DFT total energy -0.51712 Ry per atom, size of the total moment 0.0 μB/f.u.. Number 10: DFT total energy -0.51496 Ry per atom, size of the total moment 0.0 μB/f.u.. Number 11: DFT total energy -0.51811 Ry per atom, size of the total moment 0.0 μB/f.u.. Number 12: DFT total energy -0.51926 Ry per atom, size of the total moment 0.0 μB/f.u..